<A>
4
Lattice="2.777 0.000 0.000 0.000 4.067 0.000 -1.302 0.000 5.179" Properties=species:S:1:pos:R:3 comment="ScCrOs2 GGA-PBEsol relaxed" volume_a3_per_atom=14.62 crystal_system=monoclinic spacegroup="P2/m, No. 10" pbc="T T T"
Sc 0.000 0.000 0.000
Cr 0.737 0.000 2.589
Os -0.039 2.033 3.748
Os 1.514 2.033 1.431

***

<B>
4
Lattice="0.000 3.058 3.058 3.058 0.000 3.058 3.058 3.058 0.000" Properties=species:S:1:pos:R:3 comment="ScCrOs2 GGA-PBEsol relaxed" volume_a3_per_atom=14.30 crystal_system=cubic spacegroup="F-43m, No. 216" pbc="T T T"
Sc 0.000 0.000 0.000
Cr 4.587 4.587 4.587
Os 1.529 1.529 1.529
Os 3.058 3.058 3.058

***

<C>
4
Lattice="-1.469 2.255 4.368 1.469 -2.255 4.368 1.469 2.255 -4.368" Properties=species:S:1:pos:R:3 comment="ScCrOs2 GGA-PBEsol relaxed" volume_a3_per_atom=14.47 crystal_system=orthorhombic spacegroup="Immm, No. 71" pbc="T T T"
Sc 0.000 0.000 0.000
Cr 0.000 0.000 4.368
Os 1.469 0.000 2.401
Os 0.000 2.255 1.967

***

Winner for stability: <C>

***

<A>
4
Lattice="2.775 0.000 0.000 0.000 3.643 0.000 0.000 0.000 7.154" Properties=species:S:1:pos:R:3 comment="SrCrOs2 GGA-PBEsol relaxed" volume_a3_per_atom=18.09 crystal_system=orthorhombic spacegroup="Pmm2, No. 25" pbc="T T T"
Sr 0.000 0.000 0.000
Cr 1.388 1.822 2.496
Os 0.000 0.000 3.492
Os 1.388 1.822 4.895

***

<B>
4
Lattice="-1.423 2.493 4.975 1.423 -2.493 4.975 1.423 2.493 -4.975" Properties=species:S:1:pos:R:3 comment="SrCrOs2 GGA-PBEsol relaxed" volume_a3_per_atom=17.65 crystal_system=orthorhombic spacegroup="Imm2, No. 44" pbc="T T T"
Sr 0.000 0.000 0.000
Cr 1.423 0.000 2.866
Os 0.000 0.000 4.974
Os 0.000 2.493 2.131

***

Winner for stability: <A>

***

<A>
3
Lattice="0.000 2.975 2.975 2.975 0.000 2.975 2.975 2.975 0.000" Properties=species:S:1:pos:R:3 comment="TaCrOs GGA-PBEsol relaxed" volume_a3_per_atom=17.55 crystal_system=cubic spacegroup="F-43m, No. 216" pbc="T T T"
Ta 0.000 0.000 0.000
Cr 4.463 4.463 4.463
Os 1.488 1.488 1.488

***

<B>
3
Lattice="0.000 2.962 2.962 2.962 0.000 2.962 2.962 2.962 0.000" Properties=species:S:1:pos:R:3 comment="TaCrOs GGA-PBEsol relaxed" volume_a3_per_atom=17.33 crystal_system=cubic spacegroup="F-43m, No. 216" pbc="T T T"
Ta 0.000 0.000 0.000
Cr 2.962 2.962 2.962
Os 4.443 4.443 4.443

***

Winner for stability: <B>